Computed, not measured: a relaxed Pu2Tc2C3 crystal at the GGA-PBE level of DFT.

Properties
Total energy = -11.149 eV/atom
Energy of formation = -0.140 eV/atom

Cell lengths 6.149, 6.149, 5.653 Å; angles 113.99, 113.99, 30.77 degrees
Positions (direct):
Pu (0.103, 0.103, 0.305)
Pu (0.897, 0.897, 0.695)
Tc (0.340, 0.340, 0.175)
Tc (0.660, 0.660, 0.825)
C (0.251, 0.251, 0.757)
C (0.500, 0.500, 0.500)
C (0.749, 0.749, 0.243)



Computed, not measured: a relaxed PuTcC crystal at the GGA-PBE level of DFT.

Properties
Total energy = -11.173 eV/atom
Energy of formation = 0.134 eV/atom
Energy above the most stable polymorph in this dataset = 0.0000 eV per atom

Cell lengths 6.048, 6.048, 6.047 Å; angles 119.24, 119.24, 29.25 degrees
Positions (direct):
Pu (0.042, 0.042, 0.280)
Pu (0.958, 0.958, 0.720)
Tc (0.276, 0.276, 0.199)
Tc (0.724, 0.724, 0.801)
C (0.360, 0.360, 0.961)
C (0.640, 0.640, 0.039)



Computed, not measured: a relaxed PuTcC2 crystal at the GGA-PBE level of DFT.

Properties
Total energy = -10.685 eV/atom
Energy of formation = 0.101 eV/atom
Energy above the most stable polymorph in this dataset = 0.0000 eV per atom

Cell lengths 3.562, 3.966, 3.966 Å; angles 76.05, 90.00, 90.00 degrees
Positions (direct):
Pu (0.000, 0.000, 0.000)
Tc (0.500, 0.391, 0.391)
C (0.500, 0.566, 0.858)
C (0.500, 0.858, 0.566)



Computed, not measured: a relaxed PuTcC2 crystal at the GGA-PBE level of DFT.

Properties
Total energy = -10.676 eV/atom
Energy of formation = 0.111 eV/atom
Energy above the most stable polymorph in this dataset = 0.0093 eV per atom

Cell lengths 5.689, 5.689, 5.689 Å; angles 33.01, 33.01, 33.01 degrees
Positions (direct):
Pu (0.000, 0.000, 0.000)
Tc (0.500, 0.500, 0.500)
C (0.239, 0.239, 0.239)
C (0.761, 0.761, 0.761)



Computed, not measured: a relaxed Pu2TcC crystal at the GGA-PBE level of DFT.

Properties
Total energy = -11.637 eV/atom
Energy of formation = 0.427 eV/atom

Cell lengths 8.166, 8.166, 8.166 Å; angles 23.02, 23.02, 23.02 degrees
Positions (direct):
Pu (0.104, 0.104, 0.104)
Pu (0.896, 0.896, 0.896)
Tc (0.000, 0.000, 0.000)
C (0.500, 0.500, 0.500)



Computed, not measured: a relaxed PuTcC crystal at the GGA-PBE level of DFT.

Properties
Total energy = -11.034 eV/atom
Energy of formation = 0.273 eV/atom
Energy above the most stable polymorph in this dataset = 0.1388 eV per atom

Cell lengths 5.461, 5.461, 5.461 Å; angles 149.05, 149.05, 44.34 degrees
Positions (direct):
Pu (0.000, 0.000, 0.000)
Tc (0.274, 0.274, 0.000)
C (0.703, 0.703, 0.000)



Computed, not measured: a relaxed Tm2PuTc2C4 crystal at the GGA-PBE level of DFT.

Properties
Total energy = -8.989 eV/atom
Energy of formation = 0.000 eV/atom

Cell lengths 6.744, 6.744, 6.043 Å; angles 109.73, 109.73, 29.17 degrees
Positions (direct):
Tm (0.135, 0.135, 0.032)
Tm (0.865, 0.865, 0.968)
Pu (0.000, 0.000, 0.500)
Tc (0.325, 0.325, 0.512)
Tc (0.675, 0.675, 0.488)
C (0.228, 0.228, 0.731)
C (0.476, 0.476, 0.773)
C (0.524, 0.524, 0.227)
C (0.772, 0.772, 0.269)



Computed, not measured: a relaxed PuU2TcC4 crystal at the GGA-PBE level of DFT.

Properties
Total energy = -10.496 eV/atom
Energy of formation = 0.025 eV/atom

Cell lengths 6.092, 6.092, 11.420 Å; angles 90.00, 90.00, 146.59 degrees
Positions (direct):
Pu (0.115, 0.885, 0.750)
Pu (0.885, 0.115, 0.250)
U (0.371, 0.629, 0.549)
U (0.371, 0.629, 0.951)
U (0.629, 0.371, 0.049)
U (0.629, 0.371, 0.451)
Tc (0.144, 0.856, 0.250)
Tc (0.856, 0.144, 0.750)
C (0.000, 0.000, 0.000)
C (0.000, 0.000, 0.500)
C (0.265, 0.735, 0.120)
C (0.265, 0.735, 0.380)
C (0.460, 0.540, 0.750)
C (0.540, 0.460, 0.250)
C (0.735, 0.265, 0.620)
C (0.735, 0.265, 0.880)



- Which value of total energy does entry 1 give?
  -11.149 eV/atom



- Which of these has the lowest energy of formation?
  Pu2Tc2C3



Please write out number 7 again, unchanged.
Computed, not measured: a relaxed Tm2PuTc2C4 crystal at the GGA-PBE level of DFT.

Properties
Total energy = -8.989 eV/atom
Energy of formation = 0.000 eV/atom

Cell lengths 6.744, 6.744, 6.043 Å; angles 109.73, 109.73, 29.17 degrees
Positions (direct):
Tm (0.135, 0.135, 0.032)
Tm (0.865, 0.865, 0.968)
Pu (0.000, 0.000, 0.500)
Tc (0.325, 0.325, 0.512)
Tc (0.675, 0.675, 0.488)
C (0.228, 0.228, 0.731)
C (0.476, 0.476, 0.773)
C (0.524, 0.524, 0.227)
C (0.772, 0.772, 0.269)



Copy entry 6 word for word.
Computed, not measured: a relaxed PuTcC crystal at the GGA-PBE level of DFT.

Properties
Total energy = -11.034 eV/atom
Energy of formation = 0.273 eV/atom
Energy above the most stable polymorph in this dataset = 0.1388 eV per atom

Cell lengths 5.461, 5.461, 5.461 Å; angles 149.05, 149.05, 44.34 degrees
Positions (direct):
Pu (0.000, 0.000, 0.000)
Tc (0.274, 0.274, 0.000)
C (0.703, 0.703, 0.000)